1.
Ba3Pm2PuTe6: optimized geometry, PBE.

Cell lengths 8.0693, 8.0693, 8.3186 Å; angles 99.30, 99.30, 120.03 degrees
With the nearest neighbours (Å) after each atom.
Fractional coordinates of all 12 atoms:
Te: 0.9261 0.5929 0.7781  1 Pu 3.21, 2 Pm 3.21, 3 Ba 3.47
Te: 0.2592 0.2592 0.7783  1 Pu 3.20, 2 Pm 3.21, 3 Ba 3.47
Te: 0.7408 0.7408 0.2217  1 Pu 3.20, 2 Pm 3.21, 3 Ba 3.47
Te: 0.4071 0.0739 0.2219  1 Pu 3.21, 2 Pm 3.21, 3 Ba 3.47
Te: 0.0739 0.4071 0.2219  1 Pu 3.21, 2 Pm 3.21, 3 Ba 3.47
Te: 0.5929 0.9261 0.7781  1 Pu 3.21, 2 Pm 3.21, 3 Ba 3.47
Ba: 0.1668 0.8332 0.5000  6 Te 3.47
Ba: 0.5000 0.5000 0.5000  6 Te 3.47
Ba: 0.8332 0.1668 0.5000  6 Te 3.47
Pm: 0.6665 0.3335 0.0000  6 Te 3.21
Pm: 0.3335 0.6665 0.0000  6 Te 3.21
Pu: 0.0000 0.0000 0.0000  6 Te 3.20-3.21

Properties
Symmetry: No. 12
Calculated total energy: -0.20392 Ha/atom
Mass density: 6.4 Mg/m³

=====

2.
Nd7In2Sb2: optimized geometry, PBE.

Cell lengths 7.1306, 7.7126, 7.1306 Å; angles 90.00, 106.27, 90.00 degrees
With the nearest neighbours (Å) after each atom.
Fractional coordinates of all 11 atoms:
Nd: 0.4997 0.2831 0.0002  2 Sb 3.08, 1 Nd 3.35, 2 In 3.37-3.38
Nd: 0.9998 0.2831 0.5003  2 Sb 3.08, 1 Nd 3.35, 2 In 3.37-3.38
Nd: 0.0000 0.0000 0.0000  2 Sb 3.22
Nd: 0.5002 0.7338 0.4998  2 Sb 3.22-3.23, 2 In 3.35, 5 Nd 3.57-3.61
Nd: 0.5003 0.7169 0.9998  2 Sb 3.08, 1 Nd 3.35, 2 In 3.37-3.38
Nd: 0.0002 0.7169 0.4997  2 Sb 3.08, 1 Nd 3.35, 2 In 3.37-3.38
Nd: 0.4998 0.2662 0.5002  2 Sb 3.22-3.23, 2 In 3.35, 5 Nd 3.57-3.61
In: 0.8297 0.5000 0.8297  1 In 2.91
In: 0.1703 0.5000 0.1703  1 In 2.91
Sb: 0.2818 0.0000 0.7182  7 Nd 3.08-3.23
Sb: 0.7182 0.0000 0.2818  7 Nd 3.08-3.23

Properties
Symmetry: No. 65
Calculated total energy: -0.17172 Ha/atom
Mass density: 6.5 Mg/m³

=====

3.
CaTeRu: optimized geometry, PBE.

Cell lengths 4.4653, 4.4653, 4.1452 Å; angles 90.00, 90.00, 120.00 degrees
With the nearest neighbours (Å) after each atom.
Fractional coordinates of all 3 atoms:
Ru: 0.6667 0.3333 0.5001  3 Te 2.58
Te: 0.3333 0.6667 0.4999  3 Ru 2.58
Ca: 0.0000 0.0000 0.0000  6 Te 3.31, 6 Ru 3.31

Properties
Symmetry: No. 187
Calculated total energy: -0.19108 Ha/atom
Excess energy over the best structure of this formula in the dataset: 0.0000 eV/atom
Mass density: 6.2 Mg/m³

=====

4.
Na2AsPb: optimized geometry, PBE.

Cell lengths 5.2011, 5.2011, 5.2011 Å; angles 60.00, 60.00, 60.00 degrees
With the nearest neighbours (Å) after each atom.
Fractional coordinates of all 4 atoms:
Pb: 0.5000 0.5000 0.5000  8 Na 3.18
Na: 0.2500 0.2500 0.2500  4 Pb 3.18, 4 As 3.18
Na: 0.7500 0.7500 0.7500  4 As 3.18, 4 Pb 3.18
As: 0.0000 0.0000 0.0000  8 Na 3.18

Properties
Symmetry: No. 225
ΔH_f (0 K): -0.14 eV/atom
Calculated total energy: -0.10605 Ha/atom
Excess energy over the best structure of this formula in the dataset: 0.1375 eV/atom
Mass density: 5.5 Mg/m³

=====

5.
BaMnCr3: optimized geometry, PBE.

Cell lengths 4.7301, 4.7301, 4.7301 Å; angles 90.00, 90.00, 90.00 degrees
With the nearest neighbours (Å) after each atom.
Fractional coordinates of all 5 atoms:
Ba: 0.5000 0.5000 0.5000  12 Cr 3.34
Mn: 0.0000 0.0000 0.0000  6 Cr 2.37
Cr: 0.0000 0.0000 0.5000  2 Mn 2.37
Cr: 0.0000 0.5000 0.0000  2 Mn 2.37
Cr: 0.5000 0.0000 0.0000  2 Mn 2.37

Properties
Symmetry: No. 221
ΔH_f (0 K): 0.90 eV/atom
Calculated total energy: -0.26060 Ha/atom
Excess energy over the best structure of this formula in the dataset: 0.0000 eV/atom
Mass density: 5.5 Mg/m³

=====

6.
Li8AcPt4: optimized geometry, PBE.

Cell lengths 5.5446, 6.8007, 6.8007 Å; angles 80.43, 65.94, 65.94 degrees
With the nearest neighbours (Å) after each atom.
Fractional coordinates of all 13 atoms:
Li: 0.3493 0.6507 0.6507  5 Li 2.65-2.96, 4 Pt 2.74
Li: 0.6507 0.3493 0.3493  5 Li 2.65-2.96, 4 Pt 2.74
Li: 0.0000 0.3493 0.6507  5 Li 2.65-2.96, 4 Pt 2.74
Li: 0.5000 0.2315 0.7685  4 Pt 2.60, 4 Li 2.70-2.88
Li: 0.2685 0.2315 0.2315  4 Pt 2.60, 4 Li 2.70-2.88
Li: 0.0000 0.6507 0.3493  5 Li 2.65-2.96, 4 Pt 2.74
Li: 0.5000 0.7685 0.2315  4 Pt 2.60, 4 Li 2.70-2.88
Li: 0.7315 0.7685 0.7685  4 Pt 2.60, 4 Li 2.70-2.88
Pt: 0.5000 0.5000 0.0000  8 Li 2.60-2.74, 2 Pt 2.77
Pt: 0.0000 0.0000 0.5000  8 Li 2.60-2.74, 2 Pt 2.77
Pt: 0.5000 0.0000 0.5000  8 Li 2.60-2.74, 2 Pt 2.77
Pt: 0.0000 0.5000 0.0000  8 Li 2.60-2.74, 2 Pt 2.77
Ac: 0.0000 0.0000 0.0000  4 Li 3.07, 8 Pt 3.40

Properties
Symmetry: No. 139
ΔH_f (0 K): -0.56 eV/atom
Calculated total energy: -0.14367 Ha/atom
Mass density: 8.3 Mg/m³

=====

7.
Rb4TbU3S12: optimized geometry, PBE.

Cell lengths 9.0497, 9.0497, 9.0497 Å; angles 109.47, 109.47, 109.47 degrees
With the nearest neighbours (Å) after each atom.
Fractional coordinates of all 20 atoms:
S: 0.0000 0.2604 0.2604  1 U 2.50, 1 Tb 2.72
S: 0.2604 0.0000 0.2604  1 U 2.50, 1 Tb 2.72
S: 0.7500 0.5000 0.2500  2 U 2.61
S: 0.5000 0.2500 0.7500  2 U 2.61
S: 0.2500 0.5000 0.7500  2 U 2.61
S: 0.7500 0.2500 0.5000  2 U 2.61
S: 0.2604 0.2604 0.0000  1 U 2.50, 1 Tb 2.72
S: 0.2500 0.7500 0.5000  2 U 2.61
S: 0.7396 0.0000 0.7396  1 U 2.50, 1 Tb 2.72
S: 0.0000 0.7396 0.7396  1 U 2.50, 1 Tb 2.72
S: 0.5000 0.7500 0.2500  2 U 2.61
S: 0.7396 0.7396 0.0000  1 U 2.50, 1 Tb 2.72
Rb: 0.5000 0.5000 0.5000  12 S 3.69-3.70
Rb: 0.5000 0.0000 0.0000  12 S 3.69-3.70
Rb: 0.0000 0.0000 0.5000  12 S 3.69-3.70
Rb: 0.0000 0.5000 0.0000  12 S 3.69-3.70
U: 0.5000 0.5000 0.0000  6 S 2.50-2.61
U: 0.5000 0.0000 0.5000  6 S 2.50-2.61
U: 0.0000 0.5000 0.5000  6 S 2.50-2.61
Tb: 0.0000 0.0000 0.0000  6 S 2.72

Properties
Symmetry: No. 229
Calculated total energy: -0.21967 Ha/atom
Mass density: 4.7 Mg/m³

=====

8.
LaTi6P9O36: optimized geometry, PBE.

Cell lengths 8.9589, 12.3481, 14.6922 Å; angles 113.26, 105.86, 94.36 degrees
With the nearest neighbours (Å) after each atom.
Fractional coordinates of all 104 atoms:
P: 0.4102 0.1554 0.5922  4 O 1.53-1.55
P: 0.3060 0.5592 0.4053  4 O 1.52-1.58
P: 0.5898 0.8446 0.4078  4 O 1.53-1.55
P: 0.7302 0.4932 0.9717  4 O 1.53-1.56
P: 0.9823 0.2276 0.7389  4 O 1.52-1.56
P: 0.7229 0.4889 0.2555  4 O 1.53-1.56
P: 0.0642 0.8224 0.9296  4 O 1.53-1.56
P: 0.9358 0.1776 0.0704  4 O 1.53-1.56
P: 0.5918 0.8404 0.6848  4 O 1.51-1.57
P: 0.3458 0.1091 0.9334  4 O 1.53-1.56
P: 0.2771 0.5111 0.7445  4 O 1.53-1.56
P: 0.0694 0.8249 0.6438  4 O 1.52-1.57
P: 0.2698 0.5068 0.0283  4 O 1.53-1.56
P: 0.6542 0.8909 0.0666  4 O 1.53-1.56
P: 0.4082 0.1596 0.3152  4 O 1.51-1.57
P: 0.6940 0.4408 0.5947  4 O 1.52-1.58
P: 0.0177 0.7724 0.2611  4 O 1.52-1.56
P: 0.9306 0.1751 0.3562  4 O 1.52-1.57
O: 0.3217 0.2172 0.5268  1 P 1.55
O: 0.6028 0.3768 0.9192  1 P 1.53
O: 0.5213 0.4348 0.5961  1 P 1.55
O: 0.8418 0.7438 0.2469  1 P 1.53
O: 0.1726 0.0909 0.9306  1 P 1.54
O: 0.3972 0.6232 0.0808  1 P 1.53
O: 0.1254 0.8516 0.5646  1 P 1.52
O: 0.2243 0.4789 0.1133  1 P 1.56
O: 0.3775 0.6359 0.7720  1 P 1.56
O: 0.5460 0.8263 0.7762  1 P 1.57
O: 0.4339 0.2289 0.7098  1 P 1.54
O: 0.6230 0.8293 0.1339  1 P 1.53
O: 0.9228 0.3480 0.7796  1 P 1.56
O: 0.0485 0.8394 0.1967  1 P 1.54
O: 0.5533 0.8122 0.9492  1 P 1.56
O: 0.7993 0.5253 0.7122  1 P 1.58
O: 0.5737 0.1445 0.5802  1 P 1.53
O: 0.3218 0.3961 0.9621  1 P 1.53
O: 0.7375 0.9458 0.7373  1 P 1.55
O: 0.7711 0.5678 0.3745  1 P 1.54
O: 0.5661 0.7711 0.2902  1 P 1.54
O: 0.7757 0.5211 0.8867  1 P 1.56
O: 0.6892 0.9706 0.4456  1 P 1.54
O: 0.9482 0.8692 0.8620  1 P 1.54
O: 0.8746 0.1484 0.4354  1 P 1.52
O: 0.7205 0.5043 0.5267  1 P 1.55
O: 0.1115 0.8460 0.3772  1 P 1.52
O: 0.5435 0.1311 0.3836  1 P 1.51
O: 0.7935 0.2140 0.2915  1 P 1.57
O: 0.1234 0.5303 0.7729  1 P 1.55
O: 0.9654 0.0608 0.2794  1 P 1.54
O: 0.6022 0.0139 0.1059  1 P 1.56
O: 0.8766 0.4697 0.2271  1 P 1.55
O: 0.0759 0.2801 0.4113  1 P 1.54
O: 0.3108 0.0294 0.5544  1 P 1.54
O: 0.4565 0.8689 0.6164  1 P 1.51
O: 0.3619 0.2824 0.3694  1 P 1.56
O: 0.6173 0.5424 0.1906  1 P 1.53
O: 0.6782 0.6039 0.0379  1 P 1.53
O: 0.7828 0.1970 0.0992  1 P 1.55
O: 0.6225 0.3641 0.2280  1 P 1.56
O: 0.2625 0.0542 0.2627  1 P 1.55
O: 0.4540 0.1737 0.2238  1 P 1.57
O: 0.2065 0.7860 0.7085  1 P 1.57
O: 0.2289 0.4322 0.6255  1 P 1.54
O: 0.0324 0.3032 0.0970  1 P 1.56
O: 0.2007 0.4747 0.2878  1 P 1.58
O: 0.3978 0.9861 0.8941  1 P 1.56
O: 0.3770 0.1707 0.8661  1 P 1.53
O: 0.9515 0.1606 0.8033  1 P 1.54
O: 0.8885 0.1540 0.6228  1 P 1.52
O: 0.8793 0.4680 0.0388  1 P 1.56
O: 0.9676 0.6968 0.9030  1 P 1.56
O: 0.8274 0.9091 0.0694  1 P 1.54
O: 0.1166 0.9037 0.0477  1 P 1.53
O: 0.0772 0.6520 0.2204  1 P 1.56
O: 0.6381 0.7176 0.6306  1 P 1.56
O: 0.7449 0.3205 0.5593  1 P 1.52
O: 0.8834 0.0963 0.9523  1 P 1.53
O: 0.0518 0.1308 0.1380  1 P 1.54
O: 0.2795 0.4957 0.4733  1 P 1.55
O: 0.1582 0.2562 0.7531  1 P 1.53
O: 0.2551 0.6795 0.4407  1 P 1.52
O: 0.9241 0.7199 0.5887  1 P 1.54
O: 0.3827 0.4576 0.8094  1 P 1.53
O: 0.0346 0.9392 0.7206  1 P 1.54
O: 0.4787 0.5652 0.4039  1 P 1.55
O: 0.1207 0.5320 0.9612  1 P 1.56
O: 0.6783 0.7828 0.4732  1 P 1.55
O: 0.4467 0.1878 0.0508  1 P 1.56
O: 0.2172 0.8030 0.9008  1 P 1.55
O: 0.4263 0.8555 0.4198  1 P 1.53
Ti: 0.3830 0.3078 0.8336  6 O 1.89-2.02
Ti: 0.6170 0.6922 0.1664  6 O 1.89-2.02
Ti: 0.2895 0.3577 0.5031  6 O 1.92-2.12
Ti: 0.9480 0.0221 0.8296  6 O 1.90-2.12
Ti: 0.7204 0.1421 0.5041  6 O 1.91-1.99
Ti: 0.3630 0.8177 0.8336  4 O 1.85-2.05
Ti: 0.7105 0.6423 0.4969  6 O 1.92-2.12
Ti: 0.0283 0.4853 0.1629  4 O 1.85-2.07
Ti: 0.9717 0.5147 0.8371  4 O 1.85-2.07
Ti: 0.6370 0.1823 0.1664  4 O 1.85-2.05
Ti: 0.0520 0.9779 0.1704  6 O 1.90-2.12
Ti: 0.2796 0.8579 0.4959  6 O 1.91-1.99
La: 0.3231 0.3250 0.1858  6 O 2.43-2.62
La: 0.6769 0.6750 0.8142  6 O 2.43-2.62

Properties
Symmetry: No. 2
Calculated total energy: -0.29356 Ha/atom
Mass density: 3.0 Mg/m³

=====

> The lowest mass density belongs to which entry?

LaTi6P9O36

=====

> Which of these has the highest calculated total energy?

Na2AsPb

=====

> Which of these has the highest calculated total energy?

Na2AsPb

=====

> Which formula does entry 5 have?

BaMnCr3